(1)
Li2CaIn at its PBEsol-relaxed geometry, computed with SCAN.

a = 5.117 Å, b = 5.117 Å, c = 5.117 Å
α = 60.00°, β = 60.00°, γ = 60.00°
Atoms (fractional coordinates):
Ca (0.500, 0.500, 0.500)
In (0.250, 0.250, 0.250)
Li (0.000, 0.000, 0.000)
Li (0.750, 0.750, 0.750)

Output
Space-group type: F-43m
Energy: -12.239 eV per atom

(2)
GaHgAs3 at its PBEsol-relaxed geometry, computed with SCAN.

a = 4.872 Å, b = 4.872 Å, c = 4.872 Å
α = 90.00°, β = 90.00°, γ = 90.00°
Atoms (fractional coordinates):
As (0.000, 0.500, 0.000)
As (0.000, 0.000, 0.500)
As (0.500, 0.000, 0.000)
Hg (0.500, 0.500, 0.500)
Ga (0.000, 0.000, 0.000)

Output
Space-group type: Pm-3m
Energy: -28.227 eV per atom

Repeat the second record exactly.
GaHgAs3 at its PBEsol-relaxed geometry, computed with SCAN.

a = 4.872 Å, b = 4.872 Å, c = 4.872 Å
α = 90.00°, β = 90.00°, γ = 90.00°
Atoms (fractional coordinates):
As (0.000, 0.500, 0.000)
As (0.000, 0.000, 0.500)
As (0.500, 0.000, 0.000)
Hg (0.500, 0.500, 0.500)
Ga (0.000, 0.000, 0.000)

Output
Space-group type: Pm-3m
Energy: -28.227 eV per atom

Which formula does entry 2 have? GaHgAs3

Look up the energy of the second one. -28.227 eV per atom

What is the energy in the second record? -28.227 eV per atom